(1)
Material: TlGaRh2
Method: DFT, PBE-GGA
State: relaxed

Computed properties:
Its energy of formation from the pure elements is -0.179 eV/atom. Its space group is No. 123.

Cell: 3.3544 4.4031 4.4031 Å, 90.00 90.00 90.00°
With the nearest neighbours (Å) after each atom.
Positions (direct):
1 Tl 0.5000 0.5000 0.5000  8 Rh 2.77
2 Ga 0.5000 0.0000 0.0000  8 Rh 2.77
3 Rh 0.0000 0.5000 0.0000  4 Tl 2.77, 4 Ga 2.77
4 Rh 0.0000 0.0000 0.5000  4 Tl 2.77, 4 Ga 2.77



(2)
Material: Tl2GaRh
Method: DFT, PBE-GGA
State: relaxed

Computed properties:
Its energy of formation from the pure elements is -0.053 eV/atom. Its space group is No. 141.

Cell: 10.3718 10.3718 7.7218 Å, 47.81 47.81 90.00°
With the nearest neighbours (Å) after each atom.
Positions (direct):
1 Rh 0.0000 0.0000 0.0000  2 Ga 2.42, 4 Tl 2.66
2 Rh 0.7500 0.2500 0.5000  2 Ga 2.42, 4 Tl 2.66
3 Tl 0.8749 0.1250 0.2500  2 Rh 2.66
4 Tl 0.8750 0.1249 0.7500  2 Rh 2.66
5 Tl 0.3750 0.1251 0.7500  2 Rh 2.66
6 Tl 0.8751 0.6250 0.2500  2 Rh 2.66
7 Ga 0.5000 0.5000 0.0000  2 Rh 2.42
8 Ga 0.2500 0.7500 0.5000  2 Rh 2.42



(3)
Material: Tl2Ga2Rh
Method: DFT, PBE-GGA
State: relaxed

Computed properties:
Its energy of formation from the pure elements is 0.020 eV/atom. Its space group is No. 127.

Cell: 6.5477 6.5477 5.3733 Å, 90.00 90.00 90.00°
With the nearest neighbours (Å) after each atom.
Positions (direct):
1 Rh 0.5000 0.5000 0.0000  4 Ga 2.47
2 Rh 0.0000 0.0000 0.0000  4 Ga 2.47
3 Ga 0.8431 0.6569 0.0000  2 Rh 2.47
4 Ga 0.3431 0.8431 0.0000  2 Rh 2.47
5 Ga 0.1569 0.3431 0.0000  2 Rh 2.47
6 Ga 0.6569 0.1569 0.0000  2 Rh 2.47
7 Tl 0.1871 0.6871 0.5000  2 Ga 3.05, 4 Tl 3.38
8 Tl 0.3129 0.1871 0.5000  2 Ga 3.05, 4 Tl 3.38
9 Tl 0.8129 0.3129 0.5000  2 Ga 3.05, 4 Tl 3.38
10 Tl 0.6871 0.8129 0.5000  2 Ga 3.05, 4 Tl 3.38



(4)
Material: TlGaRh2
Method: DFT, PBE-GGA
State: relaxed

Computed properties:
Its energy of formation from the pure elements is 0.055 eV/atom. Its space group is No. 122.

Cell: 7.0223 7.0223 5.7588 Å, 52.43 52.43 90.00°
With the nearest neighbours (Å) after each atom.
Positions (direct):
1 Rh 0.1622 0.6250 0.2500  2 Ga 2.42
2 Rh 0.5878 0.1250 0.2500  2 Ga 2.42
3 Rh 0.8750 0.8378 0.7500  2 Ga 2.42
4 Rh 0.3750 0.4122 0.7500  2 Ga 2.42
5 Ga 0.5000 0.5000 0.0000  4 Rh 2.42
6 Ga 0.2500 0.7500 0.5000  4 Rh 2.42
7 Tl 0.0000 0.0000 0.0000  4 Rh 2.77, 2 Ga 2.92
8 Tl 0.7500 0.2500 0.5000  4 Rh 2.77, 2 Ga 2.92



(5)
Material: Tl3GaRh
Method: DFT, PBE-GGA
State: relaxed

Computed properties:
Its energy of formation from the pure elements is 0.865 eV/atom. For the energy above the most stable polymorph in this dataset, the calculation gives 699 meV per atom. Its space group is No. 221.

Cell: 5.2818 5.2818 5.2818 Å, 90.00 90.00 90.00°
With the nearest neighbours (Å) after each atom.
Positions (direct):
1 Tl 0.0000 0.0000 0.5000  2 Ga 2.64
2 Tl 0.0000 0.5000 0.0000  2 Ga 2.64
3 Tl 0.5000 0.0000 0.0000  2 Ga 2.64
4 Ga 0.0000 0.0000 0.0000  6 Tl 2.64
5 Rh 0.5000 0.5000 0.5000  12 Tl 3.73



(6)
Material: TlGaRh3
Method: DFT, PBE-GGA
State: relaxed

Computed properties:
Its energy of formation from the pure elements is 1.433 eV/atom. For the energy above the most stable polymorph in this dataset, the calculation gives 982 meV per atom. Its space group is No. 221.

Cell: 4.9604 4.9604 4.9604 Å, 90.00 90.00 90.00°
With the nearest neighbours (Å) after each atom.
Positions (direct):
1 Tl 0.0000 0.0000 0.0000  6 Rh 2.48
2 Rh 0.0000 0.5000 0.0000  2 Tl 2.48
3 Rh 0.5000 0.0000 0.0000  2 Tl 2.48
4 Rh 0.0000 0.0000 0.5000  2 Tl 2.48
5 Ga 0.5000 0.5000 0.5000  12 Rh 3.51



(7)
Material: TlGaRh3
Method: DFT, PBE-GGA
State: relaxed

Computed properties:
Its energy of formation from the pure elements is 0.451 eV/atom. For the energy above the most stable polymorph in this dataset, the calculation gives 0 meV per atom. Its space group is No. 221.

Cell: 4.5776 4.5776 4.5776 Å, 90.00 90.00 90.00°
With the nearest neighbours (Å) after each atom.
Positions (direct):
1 Rh 0.0000 0.5000 0.0000  2 Ga 2.29
2 Rh 0.0000 0.0000 0.5000  2 Ga 2.29
3 Rh 0.5000 0.0000 0.0000  2 Ga 2.29
4 Tl 0.5000 0.5000 0.5000  12 Rh 3.24
5 Ga 0.0000 0.0000 0.0000  6 Rh 2.29



(8)
Material: TlGa2Rh3
Method: DFT, PBE-GGA
State: relaxed

Computed properties:
Its energy of formation from the pure elements is -0.437 eV/atom. Its space group is No. 123.

Cell: 3.0288 3.0288 10.1113 Å, 90.00 90.00 90.00°
With the nearest neighbours (Å) after each atom.
Positions (direct):
1 Ga 0.5000 0.5000 0.8463  8 Rh 2.59-2.65
2 Ga 0.5000 0.5000 0.1537  8 Rh 2.59-2.65
3 Rh 0.0000 0.0000 0.0000  8 Ga 2.65
4 Rh 0.0000 0.0000 0.7029  4 Ga 2.59
5 Rh 0.0000 0.0000 0.2971  4 Ga 2.59
6 Tl 0.5000 0.5000 0.5000  8 Rh 2.97, 4 Tl 3.03



(9)
Material: TlGa2Rh
Method: DFT, PBE-GGA
State: relaxed

Computed properties:
Its energy of formation from the pure elements is 0.135 eV/atom. For the energy above the most stable polymorph in this dataset, the calculation gives 86 meV per atom. Its space group is No. 225.

Cell: 4.7265 4.7265 4.7265 Å, 60.00 60.00 60.00°
With the nearest neighbours (Å) after each atom.
Positions (direct):
1 Ga 0.7500 0.7500 0.7500  4 Rh 2.89, 4 Tl 2.89
2 Ga 0.2500 0.2500 0.2500  4 Tl 2.89, 4 Rh 2.89
3 Rh 0.0000 0.0000 0.0000  8 Ga 2.89
4 Tl 0.5000 0.5000 0.5000  8 Ga 2.89



(10)
Material: TlGa2Rh2
Method: DFT, PBE-GGA
State: relaxed

Computed properties:
Its energy of formation from the pure elements is -0.200 eV/atom. For the energy above the most stable polymorph in this dataset, the calculation gives 159 meV per atom. Its space group is No. 139.

Cell: 4.2589 4.2589 5.9570 Å, 69.06 69.06 90.00°
With the nearest neighbours (Å) after each atom.
Positions (direct):
1 Ga 0.6256 0.6256 0.7489  4 Rh 2.48, 1 Ga 2.58
2 Ga 0.3744 0.3744 0.2511  4 Rh 2.48, 1 Ga 2.58
3 Rh 0.7500 0.2500 0.5000  4 Ga 2.48
4 Rh 0.2500 0.7500 0.5000  4 Ga 2.48
5 Tl 0.0000 0.0000 0.0000  8 Ga 3.28, 8 Rh 3.34



(11)
Material: TlGa2Rh
Method: DFT, PBE-GGA
State: relaxed

Computed properties:
Its energy of formation from the pure elements is 0.049 eV/atom. For the energy above the most stable polymorph in this dataset, the calculation gives 0 meV per atom. Its space group is No. 122.

Cell: 4.2595 4.2595 9.3606 Å, 76.85 76.85 90.00°
With the nearest neighbours (Å) after each atom.
Positions (direct):
1 Ga 0.8750 0.8065 0.7500  2 Rh 2.58, 2 Ga 2.63, 2 Tl 2.81
2 Ga 0.5565 0.1250 0.2500  2 Rh 2.58, 2 Ga 2.63, 2 Tl 2.81
3 Ga 0.1935 0.6250 0.2500  2 Rh 2.58, 2 Ga 2.63, 2 Tl 2.81
4 Ga 0.3750 0.4435 0.7500  2 Rh 2.58, 2 Ga 2.63, 2 Tl 2.81
5 Rh 0.5000 0.5000 0.0000  4 Ga 2.58
6 Rh 0.2500 0.7500 0.5000  4 Ga 2.58
7 Tl 0.0000 0.0000 0.0000  4 Ga 2.81, 4 Rh 3.01
8 Tl 0.7500 0.2500 0.5000  4 Ga 2.81, 4 Rh 3.01



(12)
Material: TlGa2RhW
Method: DFT, PBE-GGA
State: relaxed

Computed properties:
Its energy of formation from the pure elements is 0.678 eV/atom. Its space group is No. 123.

Cell: 5.0495 5.0495 4.7416 Å, 90.00 90.00 90.00°
With the nearest neighbours (Å) after each atom.
Positions (direct):
1 Tl 0.5000 0.5000 0.5000  8 Ga 3.46, 4 Rh 3.57
2 Ga 0.0000 0.5000 0.0000  2 W 2.52
3 Ga 0.5000 0.0000 0.0000  2 W 2.52
4 W 0.0000 0.0000 0.0000  2 Rh 2.37, 4 Ga 2.52
5 Rh 0.0000 0.0000 0.5000  2 W 2.37



Number 1: total energy -5.20 eV/atom. Number 2: total energy -3.83 eV/atom. Number 3: total energy -3.61 eV/atom. Number 4: total energy -4.97 eV/atom. Number 5: total energy -2.63 eV/atom. Number 6: total energy -4.06 eV/atom. Number 7: total energy -5.04 eV/atom. Number 8: total energy -5.52 eV/atom. Number 9: total energy -3.81 eV/atom. Number 10: total energy -4.83 eV/atom. Number 11: total energy -3.89 eV/atom. Number 12: total energy -5.07 eV/atom.